Record 1
Below is a crystal of Ho2In8Co relaxed with PBEsol, with properties calculated at the SCAN level.

a = 4.499 Å, b = 4.499 Å, c = 11.919 Å
α = 90.00°, β = 90.00°, γ = 90.00°
Fractional coordinates of all 11 atoms:
In (0.500, 0.000, 0.880)
In (0.000, 0.500, 0.880)
In (0.500, 0.000, 0.120)
In (0.000, 0.500, 0.120)
In (0.500, 0.500, 0.308)
In (0.500, 0.500, 0.692)
In (0.500, 0.000, 0.500)
In (0.000, 0.500, 0.500)
Ho (0.000, 0.000, 0.693)
Ho (0.000, 0.000, 0.307)
Co (0.000, 0.000, 0.000)

SG	P4/mmm, No. 123
ΔH_f (0 K)	-0.37	eV per atom
V	21.93	Å³ per atom

***

Record 2
Below is a crystal of HoIn5Co relaxed with PBEsol, with properties calculated at the SCAN level.

a = 4.485 Å, b = 4.485 Å, c = 7.352 Å
α = 90.00°, β = 90.00°, γ = 90.00°
Fractional coordinates of all 7 atoms:
In (0.000, 0.500, 0.306)
In (0.500, 0.000, 0.694)
In (0.500, 0.000, 0.306)
In (0.500, 0.500, 0.000)
In (0.000, 0.500, 0.694)
Co (0.000, 0.000, 0.500)
Ho (0.000, 0.000, 0.000)

SG	P4/mmm, No. 123
ΔH_f (0 K)	-0.29	eV per atom
V	21.13	Å³ per atom

***

Record 3
Below is a crystal of Ho4MgCo relaxed with PBEsol, with properties calculated at the SCAN level.

a = 9.363 Å, b = 9.363 Å, c = 9.363 Å
α = 60.00°, β = 60.00°, γ = 60.00°
Fractional coordinates of all 24 atoms:
Ho (0.064, 0.436, 0.436)
Ho (0.312, 0.688, 0.312)
Ho (0.312, 0.312, 0.688)
Ho (0.906, 0.906, 0.906)
Ho (0.688, 0.312, 0.312)
Ho (0.436, 0.064, 0.064)
Ho (0.282, 0.906, 0.906)
Ho (0.688, 0.688, 0.312)
Ho (0.064, 0.064, 0.436)
Ho (0.436, 0.064, 0.436)
Ho (0.064, 0.436, 0.064)
Ho (0.436, 0.436, 0.064)
Ho (0.906, 0.906, 0.282)
Ho (0.688, 0.312, 0.688)
Ho (0.906, 0.282, 0.906)
Ho (0.312, 0.688, 0.688)
Mg (0.670, 0.670, 0.670)
Mg (0.670, 0.670, 0.989)
Mg (0.670, 0.989, 0.670)
Mg (0.989, 0.670, 0.670)
Co (0.109, 0.109, 0.672)
Co (0.109, 0.109, 0.109)
Co (0.109, 0.672, 0.109)
Co (0.672, 0.109, 0.109)

SG	F-43m, No. 216
ΔH_f (0 K)	-0.13	eV per atom
V	24.19	Å³ per atom

***

Record 4
Below is a crystal of Ho2CoRu relaxed with PBEsol, with properties calculated at the SCAN level.

a = 4.655 Å, b = 4.655 Å, c = 4.655 Å
α = 60.00°, β = 60.00°, γ = 60.00°
Fractional coordinates of all 4 atoms:
Ho (0.250, 0.250, 0.250)
Ho (0.750, 0.750, 0.750)
Ru (0.500, 0.500, 0.500)
Co (0.000, 0.000, 0.000)

SG	Fm-3m, No. 225
ΔH_f (0 K)	-0.36	eV per atom
V	17.83	Å³ per atom

***

Record 5
Below is a crystal of Ho5CoSb2 relaxed with PBEsol, with properties calculated at the SCAN level.

a = 7.697 Å, b = 8.614 Å, c = 11.939 Å
α = 90.00°, β = 90.00°, γ = 90.00°
Fractional coordinates of all 32 atoms:
Sb (0.428, 0.492, 0.827)
Sb (0.072, 0.008, 0.327)
Sb (0.572, 0.992, 0.173)
Sb (0.572, 0.508, 0.173)
Sb (0.428, 0.008, 0.827)
Sb (0.072, 0.492, 0.327)
Sb (0.928, 0.992, 0.673)
Sb (0.928, 0.508, 0.673)
Ho (0.179, 0.463, 0.064)
Ho (0.122, 0.250, 0.807)
Ho (0.846, 0.250, 0.203)
Ho (0.453, 0.750, 0.002)
Ho (0.321, 0.463, 0.564)
Ho (0.547, 0.250, 0.998)
Ho (0.679, 0.537, 0.436)
Ho (0.622, 0.750, 0.693)
Ho (0.654, 0.250, 0.703)
Ho (0.179, 0.037, 0.064)
Ho (0.321, 0.037, 0.564)
Ho (0.154, 0.750, 0.797)
Ho (0.346, 0.750, 0.297)
Ho (0.878, 0.750, 0.193)
Ho (0.679, 0.963, 0.436)
Ho (0.378, 0.250, 0.307)
Ho (0.821, 0.963, 0.936)
Ho (0.953, 0.250, 0.498)
Ho (0.047, 0.750, 0.502)
Ho (0.821, 0.537, 0.936)
Co (0.931, 0.250, 0.990)
Co (0.569, 0.250, 0.490)
Co (0.069, 0.750, 0.010)
Co (0.431, 0.750, 0.510)

SG	Pnma, No. 62
V	24.74	Å³ per atom
electronic total energy	-3.1487	Ry/atom

***

Record 6
Below is a crystal of HoCoSi relaxed with PBEsol, with properties calculated at the SCAN level.

a = 4.139 Å, b = 6.658 Å, c = 6.839 Å
α = 90.00°, β = 90.00°, γ = 90.00°
Fractional coordinates of all 12 atoms:
Ho (0.750, 0.816, 0.021)
Ho (0.250, 0.316, 0.479)
Ho (0.750, 0.684, 0.521)
Ho (0.250, 0.184, 0.979)
Co (0.750, 0.066, 0.358)
Co (0.750, 0.434, 0.858)
Co (0.250, 0.934, 0.642)
Co (0.250, 0.566, 0.142)
Si (0.250, 0.890, 0.306)
Si (0.750, 0.390, 0.194)
Si (0.750, 0.110, 0.694)
Si (0.250, 0.610, 0.806)

SG	Pnma, No. 62
V	15.71	Å³ per atom
electronic total energy	-1.9205	Ry/atom

***

Record 7
Below is a crystal of Ho5Co4Si14 relaxed with PBEsol, with properties calculated at the SCAN level.

a = 7.672 Å, b = 7.729 Å, c = 12.222 Å
α = 90.00°, β = 98.86°, γ = 90.00°
Fractional coordinates of all 46 atoms:
Co (0.873, 0.374, 0.500)
Co (0.627, 0.874, 0.500)
Co (0.127, 0.626, 0.500)
Co (0.939, 0.000, 0.251)
Co (0.561, 0.500, 0.749)
Co (0.373, 0.126, 0.500)
Co (0.061, 0.000, 0.749)
Co (0.439, 0.500, 0.251)
Ho (0.158, 0.252, 0.136)
Ho (0.500, 0.500, 0.500)
Ho (0.000, 0.000, 0.500)
Ho (0.658, 0.248, 0.136)
Ho (0.342, 0.752, 0.864)
Ho (0.661, 0.749, 0.136)
Ho (0.339, 0.251, 0.864)
Ho (0.839, 0.249, 0.864)
Ho (0.161, 0.751, 0.136)
Ho (0.842, 0.748, 0.864)
Si (0.770, 0.994, 0.677)
Si (0.833, 0.667, 0.500)
Si (0.609, 0.500, 0.939)
Si (0.167, 0.333, 0.500)
Si (0.667, 0.167, 0.500)
Si (0.038, 0.273, 0.677)
Si (0.450, 0.227, 0.323)
Si (0.333, 0.833, 0.500)
Si (0.962, 0.727, 0.323)
Si (0.730, 0.494, 0.323)
Si (0.888, 0.500, 0.060)
Si (0.270, 0.506, 0.677)
Si (0.388, 0.000, 0.060)
Si (0.317, 0.006, 0.677)
Si (0.891, 0.000, 0.061)
Si (0.817, 0.494, 0.677)
Si (0.462, 0.773, 0.323)
Si (0.183, 0.506, 0.323)
Si (0.112, 0.500, 0.940)
Si (0.538, 0.227, 0.677)
Si (0.050, 0.727, 0.677)
Si (0.109, 0.000, 0.939)
Si (0.391, 0.500, 0.061)
Si (0.612, 0.000, 0.940)
Si (0.950, 0.273, 0.323)
Si (0.683, 0.994, 0.323)
Si (0.550, 0.773, 0.677)
Si (0.230, 0.006, 0.323)

SG	P2_1/c, No. 14
V	15.57	Å³ per atom
electronic total energy	-1.4977	Ry/atom

***

Record 8
Below is a crystal of Ho3Co2Si3 relaxed with PBEsol, with properties calculated at the SCAN level.

a = 4.033 Å, b = 5.508 Å, c = 13.341 Å
α = 90.00°, β = 90.00°, γ = 111.47°
Fractional coordinates of all 16 atoms:
Co (0.215, 0.430, 0.579)
Co (0.785, 0.570, 0.079)
Co (0.785, 0.570, 0.421)
Co (0.215, 0.430, 0.921)
Ho (0.081, 0.162, 0.388)
Ho (0.363, 0.725, 0.250)
Ho (0.919, 0.838, 0.612)
Ho (0.919, 0.838, 0.888)
Ho (0.637, 0.275, 0.750)
Ho (0.081, 0.162, 0.112)
Si (0.619, 0.238, 0.960)
Si (0.670, 0.339, 0.250)
Si (0.381, 0.762, 0.460)
Si (0.330, 0.661, 0.750)
Si (0.619, 0.238, 0.540)
Si (0.381, 0.762, 0.040)

SG	Cmcm, No. 63
V	17.24	Å³ per atom
electronic total energy	-1.9970	Ry/atom

***

Record 9
Below is a crystal of Ho2Co3Si5 relaxed with PBEsol, with properties calculated at the SCAN level.

a = 5.430 Å, b = 7.786 Å, c = 7.786 Å
α = 74.24°, β = 69.59°, γ = 69.59°
Fractional coordinates of all 20 atoms:
Ho (0.136, 0.597, 0.132)
Ho (0.636, 0.132, 0.597)
Ho (0.864, 0.403, 0.868)
Ho (0.364, 0.868, 0.403)
Si (0.901, 0.938, 0.260)
Si (0.099, 0.062, 0.740)
Si (0.026, 0.224, 0.224)
Si (0.526, 0.224, 0.224)
Si (0.474, 0.776, 0.776)
Si (0.250, 0.500, 0.500)
Si (0.599, 0.740, 0.062)
Si (0.401, 0.260, 0.938)
Si (0.974, 0.776, 0.776)
Si (0.750, 0.500, 0.500)
Co (0.139, 0.255, 0.468)
Co (0.639, 0.468, 0.255)
Co (0.750, 0.000, 0.000)
Co (0.250, 0.000, 0.000)
Co (0.361, 0.532, 0.745)
Co (0.861, 0.745, 0.532)

SG	Ibam, No. 72
V	14.24	Å³ per atom
electronic total energy	-1.5232	Ry/atom

***

Record 10
Below is a crystal of HoCoSn2 relaxed with PBEsol, with properties calculated at the SCAN level.

a = 4.202 Å, b = 5.689 Å, c = 7.097 Å
α = 90.00°, β = 90.00°, γ = 111.67°
Fractional coordinates of all 8 atoms:
Sn (0.356, 0.712, 0.044)
Sn (0.644, 0.288, 0.956)
Sn (0.644, 0.288, 0.544)
Sn (0.356, 0.712, 0.456)
Co (0.797, 0.594, 0.250)
Co (0.203, 0.406, 0.750)
Ho (0.066, 0.132, 0.250)
Ho (0.934, 0.868, 0.750)

SG	Cmcm, No. 63
ΔH_f (0 K)	-0.43	eV per atom
V	19.71	Å³ per atom

***

Record 11
Below is a crystal of Ho7Co6Sn23 relaxed with PBEsol, with properties calculated at the SCAN level.

a = 9.523 Å, b = 9.523 Å, c = 9.762 Å
α = 90.00°, β = 90.00°, γ = 120.00°
Fractional coordinates of all 36 atoms:
Sn (0.653, 0.653, 0.000)
Sn (0.333, 0.667, 0.116)
Sn (0.765, 0.882, 0.274)
Sn (0.118, 0.235, 0.274)
Sn (0.118, 0.882, 0.274)
Sn (0.667, 0.333, 0.181)
Sn (0.782, 0.218, 0.454)
Sn (0.347, 0.347, 0.000)
Sn (0.000, 0.347, 0.000)
Sn (0.218, 0.782, 0.546)
Sn (0.653, 0.000, 0.000)
Sn (0.218, 0.436, 0.546)
Sn (0.564, 0.782, 0.546)
Sn (0.882, 0.765, 0.726)
Sn (0.436, 0.218, 0.454)
Sn (0.000, 0.653, 0.000)
Sn (0.347, 0.000, 0.000)
Sn (0.235, 0.118, 0.726)
Sn (0.882, 0.118, 0.726)
Sn (0.000, 0.000, 0.500)
Sn (0.667, 0.333, 0.884)
Sn (0.782, 0.564, 0.454)
Sn (0.333, 0.667, 0.819)
Co (0.337, 0.168, 0.198)
Co (0.168, 0.832, 0.802)
Co (0.168, 0.337, 0.802)
Co (0.832, 0.663, 0.198)
Co (0.663, 0.832, 0.802)
Co (0.832, 0.168, 0.198)
Ho (0.957, 0.479, 0.693)
Ho (0.000, 0.000, 0.000)
Ho (0.479, 0.957, 0.307)
Ho (0.479, 0.521, 0.307)
Ho (0.521, 0.043, 0.693)
Ho (0.521, 0.479, 0.693)
Ho (0.043, 0.521, 0.307)

SG	P-3m1, No. 164
ΔH_f (0 K)	-0.39	eV per atom
V	21.30	Å³ per atom

***

Record 12
Below is a crystal of TbHoCo4 relaxed with PBEsol, with properties calculated at the SCAN level.

a = 4.964 Å, b = 4.964 Å, c = 4.964 Å
α = 60.00°, β = 60.00°, γ = 60.00°
Fractional coordinates of all 6 atoms:
Co (0.375, 0.375, 0.875)
Co (0.875, 0.375, 0.375)
Co (0.375, 0.375, 0.375)
Co (0.375, 0.875, 0.375)
Ho (0.000, 0.000, 0.000)
Tb (0.750, 0.750, 0.750)

SG	F-43m, No. 216
ΔH_f (0 K)	-0.15	eV per atom
V	14.42	Å³ per atom